## CdIn (PBE)

Data for a geometry-optimized CdIn structure.

a b c (Å): 6.324 9.737 6.486
angles (deg): 90.00 90.00 90.00
Positions (direct):
Cd (0.000, 0.000, 0.000)
Cd (0.000, 0.500, 0.000)
Cd (0.250, 0.250, 0.250)
Cd (0.250, 0.750, 0.750)
Cd (0.500, 0.000, 0.500)
Cd (0.500, 0.500, 0.500)
Cd (0.750, 0.250, 0.250)
Cd (0.750, 0.750, 0.750)
In (0.000, 0.000, 0.500)
In (0.000, 0.500, 0.500)
In (0.250, 0.250, 0.750)
In (0.250, 0.750, 0.250)
In (0.500, 0.000, 0.000)
In (0.500, 0.500, 0.000)
In (0.750, 0.250, 0.750)
In (0.750, 0.750, 0.250)

## Properties
raw total energy	-1.79	eV per atom
calculated volume	399.4	Å³/cell
density of states at the Fermi level	0.48	states/eV/atom
formation enthalpy at 0 K	4	kJ per mole of atoms

=====

## Rb3Li2Pb9 (PBE)

Data for a geometry-optimized Rb3Li2Pb9 structure.

a b c (Å): 9.974 9.974 9.974
angles (deg): 150.62 99.51 87.90
Positions (direct):
Rb (0.000, 0.000, 0.000)
Rb (0.277, 0.277, 0.000)
Rb (0.723, 0.723, 0.000)
Li (0.357, 0.500, 0.857)
Li (0.643, 0.500, 0.143)
Pb (0.034, 0.377, 0.656)
Pb (0.153, 0.854, 0.299)
Pb (0.279, 0.623, 0.656)
Pb (0.444, 0.146, 0.299)
Pb (0.500, 0.000, 0.500)
Pb (0.556, 0.854, 0.701)
Pb (0.721, 0.377, 0.344)
Pb (0.847, 0.146, 0.701)
Pb (0.966, 0.623, 0.344)

## Properties
raw total energy	-3.01	eV per atom
calculated volume	468.0	Å³/cell
density of states at the Fermi level	0.46	states/eV/atom
formation enthalpy at 0 K	-14	kJ per mole of atoms

=====

## Tb5Y4Ho3 (PBE)

Data for a geometry-optimized Tb5Y4Ho3 structure.

a b c (Å): 6.155 7.113 8.700
angles (deg): 90.01 90.08 90.11
Positions (direct):
Tb (0.000, 0.000, 0.000)
Tb (0.334, 0.500, 0.333)
Tb (0.499, 0.251, 0.999)
Tb (0.501, 0.749, 0.001)
Tb (0.666, 0.500, 0.667)
Y (0.166, 0.749, 0.667)
Y (0.333, 0.000, 0.333)
Y (0.667, 0.000, 0.667)
Y (0.834, 0.251, 0.333)
Ho (0.000, 0.500, 0.000)
Ho (0.167, 0.251, 0.667)
Ho (0.833, 0.749, 0.333)

## Properties
raw total energy	-5.21	eV per atom
calculated volume	380.9	Å³/cell
density of states at the Fermi level	1.34	states/eV/atom
formation enthalpy at 0 K	2	kJ per mole of atoms
distance to the lowest polymorph of the same formula	0.0	meV per atom

=====

## Rb12Hg3Te5 (PBE)

Data for a geometry-optimized Rb12Hg3Te5 structure.

a b c (Å): 19.267 19.267 19.267
angles (deg): 109.47 109.47 109.47
Positions (direct):
Rb (0.028, 0.204, 0.110)
Rb (0.028, 0.324, 0.919)
Rb (0.081, 0.610, 0.405)
Rb (0.081, 0.972, 0.676)
Rb (0.095, 0.704, 0.676)
Rb (0.095, 0.890, 0.419)
Rb (0.110, 0.028, 0.204)
Rb (0.110, 0.581, 0.905)
Rb (0.176, 0.204, 0.595)
Rb (0.176, 0.472, 0.581)
Rb (0.204, 0.110, 0.028)
Rb (0.204, 0.595, 0.176)
Rb (0.296, 0.324, 0.905)
Rb (0.296, 0.472, 0.390)
Rb (0.324, 0.905, 0.296)
Rb (0.324, 0.919, 0.028)
Rb (0.390, 0.296, 0.472)
Rb (0.390, 0.595, 0.919)
Rb (0.405, 0.081, 0.610)
Rb (0.405, 0.824, 0.796)
Rb (0.419, 0.095, 0.890)
Rb (0.419, 0.824, 0.528)
Rb (0.472, 0.390, 0.296)
Rb (0.472, 0.581, 0.176)
Rb (0.528, 0.419, 0.824)
Rb (0.528, 0.610, 0.704)
Rb (0.581, 0.176, 0.472)
Rb (0.581, 0.905, 0.110)
Rb (0.595, 0.176, 0.204)
Rb (0.595, 0.919, 0.390)
Rb (0.610, 0.405, 0.081)
Rb (0.610, 0.704, 0.528)
Rb (0.676, 0.081, 0.972)
Rb (0.676, 0.095, 0.704)
Rb (0.704, 0.528, 0.610)
Rb (0.704, 0.676, 0.095)
Rb (0.796, 0.405, 0.824)
Rb (0.796, 0.890, 0.972)
Rb (0.824, 0.528, 0.419)
Rb (0.824, 0.796, 0.405)
Rb (0.890, 0.419, 0.095)
Rb (0.890, 0.972, 0.796)
Rb (0.905, 0.110, 0.581)
Rb (0.905, 0.296, 0.324)
Rb (0.919, 0.028, 0.324)
Rb (0.919, 0.390, 0.595)
Rb (0.972, 0.676, 0.081)
Rb (0.972, 0.796, 0.890)
Hg (0.125, 0.250, 0.375)
Hg (0.125, 0.375, 0.750)
Hg (0.250, 0.375, 0.125)
Hg (0.250, 0.875, 0.625)
Hg (0.375, 0.125, 0.250)
Hg (0.375, 0.750, 0.125)
Hg (0.625, 0.250, 0.875)
Hg (0.625, 0.875, 0.750)
Hg (0.750, 0.125, 0.375)
Hg (0.750, 0.625, 0.875)
Hg (0.875, 0.625, 0.250)
Hg (0.875, 0.750, 0.625)
Te (0.000, 0.000, 0.000)
Te (0.000, 0.000, 0.500)
Te (0.000, 0.500, 0.000)
Te (0.000, 0.500, 0.500)
Te (0.125, 0.750, 0.875)
Te (0.125, 0.875, 0.250)
Te (0.250, 0.125, 0.875)
Te (0.250, 0.625, 0.375)
Te (0.375, 0.250, 0.625)
Te (0.375, 0.625, 0.750)
Te (0.500, 0.000, 0.000)
Te (0.500, 0.000, 0.500)
Te (0.500, 0.500, 0.000)
Te (0.500, 0.500, 0.500)
Te (0.625, 0.375, 0.250)
Te (0.625, 0.750, 0.375)
Te (0.750, 0.375, 0.625)
Te (0.750, 0.875, 0.125)
Te (0.875, 0.125, 0.750)
Te (0.875, 0.250, 0.125)

## Properties
raw total energy	-1.98	eV per atom
calculated volume	5505.5	Å³/cell
raw formation energy	-572	meV/atom
density of states at the Fermi level	0.41	states/eV/atom

=====

## La2CuHPd6 (PBE)

Data for a geometry-optimized La2CuHPd6 structure.

a b c (Å): 5.784 5.793 6.930
angles (deg): 65.50 65.37 60.09
Positions (direct):
La (0.228, 0.230, 0.316)
La (0.772, 0.770, 0.684)
Cu (0.500, 0.500, 0.500)
H (0.000, 0.000, 0.000)
Pd (0.229, 0.728, 0.813)
Pd (0.230, 0.228, 0.811)
Pd (0.271, 0.772, 0.187)
Pd (0.729, 0.228, 0.813)
Pd (0.770, 0.772, 0.189)
Pd (0.771, 0.272, 0.187)

## Properties
raw total energy	-5.46	eV per atom
calculated volume	176.5	Å³/cell
density of states at the Fermi level	0.27	states/eV/atom

=====

## Pr2Y6Er3 (PBE)

Data for a geometry-optimized Pr2Y6Er3 structure.

a b c (Å): 6.144 6.144 11.752
angles (deg): 95.03 95.03 120.07
Positions (direct):
Pr (0.167, 0.833, 0.000)
Pr (0.833, 0.167, 0.000)
Y (0.082, 0.415, 0.746)
Y (0.251, 0.251, 0.254)
Y (0.415, 0.082, 0.746)
Y (0.585, 0.918, 0.254)
Y (0.749, 0.749, 0.746)
Y (0.918, 0.585, 0.254)
Er (0.000, 0.000, 0.500)
Er (0.335, 0.665, 0.500)
Er (0.665, 0.335, 0.500)

## Properties
raw total energy	-5.45	eV per atom
calculated volume	377.9	Å³/cell
density of states at the Fermi level	1.74	states/eV/atom
formation enthalpy at 0 K	18	kJ per mole of atoms
distance to the lowest polymorph of the same formula	0.0	meV per atom

=====

## HfPaBi2 (PBE)

Data for a geometry-optimized HfPaBi2 structure.

a b c (Å): 7.453 7.453 7.453
angles (deg): 90.00 90.00 90.00
Positions (direct):
Hf (0.000, 0.000, 0.000)
Hf (0.000, 0.500, 0.500)
Hf (0.500, 0.000, 0.500)
Hf (0.500, 0.500, 0.000)
Pa (0.000, 0.000, 0.500)
Pa (0.000, 0.500, 0.000)
Pa (0.500, 0.000, 0.000)
Pa (0.500, 0.500, 0.500)
Bi (0.250, 0.250, 0.250)
Bi (0.250, 0.250, 0.750)
Bi (0.250, 0.750, 0.250)
Bi (0.250, 0.750, 0.750)
Bi (0.750, 0.250, 0.250)
Bi (0.750, 0.250, 0.750)
Bi (0.750, 0.750, 0.250)
Bi (0.750, 0.750, 0.750)

## Properties
raw total energy	-6.86	eV per atom
calculated volume	414.0	Å³/cell
density of states at the Fermi level	1.68	states/eV/atom
formation enthalpy at 0 K	-6	kJ per mole of atoms
distance to the lowest polymorph of the same formula	8.2	meV per atom

=====

## Rb2Pa3ReO12 (PBE)

Data for a geometry-optimized Rb2Pa3ReO12 structure.

a b c (Å): 7.873 7.873 7.873
angles (deg): 61.08 61.08 61.08
Positions (direct):
Rb (0.111, 0.111, 0.111)
Rb (0.889, 0.889, 0.889)
Pa (0.000, 0.500, 0.500)
Pa (0.500, 0.000, 0.500)
Pa (0.500, 0.500, 0.000)
Re (0.500, 0.500, 0.500)
O (0.179, 0.179, 0.567)
O (0.179, 0.567, 0.179)
O (0.219, 0.556, 0.556)
O (0.433, 0.821, 0.821)
O (0.444, 0.444, 0.781)
O (0.444, 0.781, 0.444)
O (0.556, 0.219, 0.556)
O (0.556, 0.556, 0.219)
O (0.567, 0.179, 0.179)
O (0.781, 0.444, 0.444)
O (0.821, 0.433, 0.821)
O (0.821, 0.821, 0.433)

## Properties
raw total energy	-8.50	eV per atom
calculated volume	353.5	Å³/cell
raw formation energy	-2809	meV/atom
density of states at the Fermi level	0.00	states/eV/atom

=====

## Cu3C (PBE)

Data for a geometry-optimized Cu3C structure.

a b c (Å): 2.831 6.727 4.484
angles (deg): 90.00 90.00 90.00
Positions (direct):
Cu (0.000, 0.000, 0.000)
Cu (0.000, 0.187, 0.498)
Cu (0.000, 0.813, 0.498)
Cu (0.500, 0.313, 0.998)
Cu (0.500, 0.500, 0.500)
Cu (0.500, 0.687, 0.998)
C (0.000, 0.500, 0.816)
C (0.500, 0.000, 0.316)

## Properties
raw total energy	-4.66	eV per atom
calculated volume	85.4	Å³/cell
density of states at the Fermi level	0.30	states/eV/atom
formation enthalpy at 0 K	69	kJ per mole of atoms

=====

## Li4ZrRe (PBE)

Data for a geometry-optimized Li4ZrRe structure.

a b c (Å): 4.977 4.977 4.977
angles (deg): 60.00 60.00 60.00
Positions (direct):
Li (0.122, 0.122, 0.122)
Li (0.122, 0.122, 0.633)
Li (0.122, 0.633, 0.122)
Li (0.633, 0.122, 0.122)
Zr (0.500, 0.500, 0.500)
Re (0.750, 0.750, 0.750)

## Properties
raw total energy	-4.40	eV per atom
calculated volume	87.2	Å³/cell
density of states at the Fermi level	0.77	states/eV/atom
formation enthalpy at 0 K	37	kJ per mole of atoms

=====

## PrZrGa (PBE)

Data for a geometry-optimized PrZrGa structure.

a b c (Å): 6.098 6.107 8.789
angles (deg): 90.00 110.10 90.00
Positions (direct):
Pr (0.176, 0.000, 0.356)
Pr (0.324, 0.500, 0.644)
Pr (0.676, 0.500, 0.356)
Pr (0.824, 0.000, 0.644)
Zr (0.250, 0.250, 0.000)
Zr (0.250, 0.750, 0.000)
Zr (0.750, 0.250, 0.000)
Zr (0.750, 0.750, 0.000)
Ga (0.119, 0.500, 0.242)
Ga (0.381, 0.000, 0.758)
Ga (0.619, 0.000, 0.242)
Ga (0.881, 0.500, 0.758)

## Properties
raw total energy	-5.84	eV per atom
calculated volume	307.4	Å³/cell
density of states at the Fermi level	1.27	states/eV/atom
formation enthalpy at 0 K	-38	kJ per mole of atoms
distance to the lowest polymorph of the same formula	0.0	meV per atom

=====

## MnZnCr2N (PBE)

Data for a geometry-optimized MnZnCr2N structure.

a b c (Å): 3.844 3.844 3.871
angles (deg): 90.00 90.00 90.00
Positions (direct):
Mn (0.000, 0.000, 0.000)
Zn (0.500, 0.500, 0.000)
Cr (0.000, 0.500, 0.500)
Cr (0.500, 0.000, 0.500)
N (0.000, 0.000, 0.500)

## Properties
raw total energy	-7.79	eV per atom
calculated volume	57.2	Å³/cell
raw formation energy	-189	meV/atom
density of states at the Fermi level	1.06	states/eV/atom

=====

## HoIn2TcO8 (PBE)

Data for a geometry-optimized HoIn2TcO8 structure.

a b c (Å): 4.971 4.971 6.542
angles (deg): 90.00 90.00 91.33
Positions (direct):
Ho (0.000, 0.000, 0.000)
In (0.500, 0.500, 0.250)
In (0.500, 0.500, 0.750)
Tc (0.000, 0.000, 0.500)
O (0.182, 0.818, 0.291)
O (0.182, 0.818, 0.709)
O (0.284, 0.284, 0.500)
O (0.308, 0.308, 0.000)
O (0.692, 0.692, 0.000)
O (0.716, 0.716, 0.500)
O (0.818, 0.182, 0.291)
O (0.818, 0.182, 0.709)

## Properties
raw total energy	-6.79	eV per atom
calculated volume	161.6	Å³/cell
raw formation energy	-1779	meV/atom
density of states at the Fermi level	0.05	states/eV/atom

=====

## TbSm2ThN4 (PBE)

Data for a geometry-optimized TbSm2ThN4 structure.

a b c (Å): 6.200 3.595 6.209
angles (deg): 90.00 109.34 90.00
Positions (direct):
Tb (0.000, 0.000, 0.000)
Sm (0.000, 0.500, 0.500)
Sm (0.500, 0.000, 0.500)
Th (0.500, 0.500, 0.000)
N (0.249, 0.500, 0.242)
N (0.252, 0.000, 0.757)
N (0.748, 0.000, 0.243)
N (0.751, 0.500, 0.758)

## Properties
raw total energy	-8.43	eV per atom
calculated volume	130.6	Å³/cell
raw formation energy	-1581	meV/atom
density of states at the Fermi level	0.22	states/eV/atom